Pm2AlAu: relaxed, PBE.

abc: 3.6429 3.6429 7.6662
angles: 90.00 90.00 90.00
Closest atoms and distances in Å follow each position.
Element x y z (fractional)
1 Pm 0.0000 0.0000 0.2459  4 Au 3.19, 4 Al 3.23
2 Pm 0.0000 0.0000 0.7541  4 Au 3.19, 4 Al 3.23
3 Au 0.5000 0.5000 0.0000  8 Pm 3.19
4 Al 0.5000 0.5000 0.5000  8 Pm 3.23

Calculated values
- Calculated total energy: -18.76 eV per cell



TcHgCl2: relaxed, PBE.

abc: 3.4238 5.7495 4.4040
angles: 90.00 90.00 90.00
Closest atoms and distances in Å follow each position.
Element x y z (fractional)
1 Tc 0.0000 0.5000 0.5000  4 Cl 2.79
2 Hg 0.5000 0.0000 0.5000  4 Cl 2.79
3 Cl 0.5000 0.5000 0.0000  4 Tc 2.79
4 Cl 0.0000 0.0000 0.0000  4 Hg 2.79

Calculated values
- Uncorrected formation energy: 0.4944 eV/atom
- Distance to the lowest polymorph of the same formula: 0.640 eV per atom
- Calculated total energy: -12.38 eV per cell